Below is an optimized crystal structure of Na2ScBiCl, with properties calculated at the PBE-GGA level.

Calculated values
Raw formation energy: 0.02 eV/atom
Final energy: -2.922 eV per atom
Symmetry: P4/mmm (123)
Fermi-level density of states: 0.968 states/eV per atom

abc: 6.2593 6.2593 4.6865
angles: 90.00 90.00 90.00
Closest atoms and distances in Å follow each position.
Fractional positions:
Na  0.0000  0.5000  0.0000  2 Sc 3.13
Na  0.5000  0.0000  0.0000  2 Sc 3.13
Sc  0.0000  0.0000  0.0000  2 Cl 2.34
Bi  0.5000  0.5000  0.5000  8 Na 3.91
Cl  0.0000  0.0000  0.5000  2 Sc 2.34

***

Below is an optimized crystal structure of NaTlSiBiTeCl, with properties calculated at the PBE-GGA level.

Calculated values
Raw formation energy: -0.37 eV/atom
Final energy: -3.363 eV per atom
Symmetry: P1 (1)
Energy above the lowest structure with this stoichiometry: 0.0980 eV per atom

abc: 4.2261 6.8210 7.5566
angles: 87.85 88.00 74.53
Closest atoms and distances in Å follow each position.
Fractional positions:
Na  0.0000  0.0000  0.0000  2 Cl 2.68-2.69
Tl  0.9013  0.1804  0.5110  2 Si 3.14-3.46, 2 Cl 3.18-3.25
Si  0.5991  0.8350  0.6665  1 Te 2.61, 2 Bi 2.79-2.80
Bi  0.1977  0.6248  0.5138  2 Si 2.79-2.80, 1 Te 2.92
Te  0.9566  0.5489  0.8699  1 Si 2.61, 1 Bi 2.92
Cl  0.4606  0.0564  0.2128  2 Na 2.68-2.69